(1)
A geometry-optimized AlZn2W structure. Source: Alexandria via LeMat-Bulk, functional PBE. Values from VASP.

Cell and atoms, written as Quantum ESPRESSO input:
```
&SYSTEM
  ibrav = 0, nat = 8, ntyp = 3
/
ATOMIC_SPECIES
Al 26.98 Al.upf
Zn 65.41 Zn.upf
W 183.84 W.upf
ATOMIC_POSITIONS angstrom
Al 0.0000 0.0000 0.0000
Al 1.4495 2.2351 4.6677
Zn 0.0000 2.2351 2.3365
Zn 0.0000 2.2351 6.9989
Zn 1.4495 0.0000 2.3312
Zn 1.4495 0.0000 7.0042
W 0.0000 0.0000 4.6677
W 1.4495 2.2351 0.0000
CELL_PARAMETERS angstrom
2.8991 0.0000 0.0000
0.0000 4.4701 0.0000
0.0000 0.0000 9.3354
```

* energy: -4.683 eV/atom
* D(E_F): 3.4 states/eV/cell
* energy relative to the elements: 127.9 meV/atom
* volume: 121 Å³/cell

(2)
A geometry-optimized Al6Zn2W structure. Source: Alexandria via LeMat-Bulk, functional PBE. Values from VASP.

Cell and atoms, written as Quantum ESPRESSO input:
```
&SYSTEM
  ibrav = 0, nat = 9, ntyp = 3
/
ATOMIC_SPECIES
Al 26.98 Al.upf
Zn 65.41 Zn.upf
W 183.84 W.upf
ATOMIC_POSITIONS angstrom
Al 0.6444 0.0000 1.1999
Al 0.6706 0.0000 5.9024
Al 2.1041 0.0000 3.5476
Al 5.0193 0.0000 3.4650
Al 6.4528 0.0000 1.1102
Al 6.4790 0.0000 5.8127
Zn 3.5558 0.0000 1.2615
Zn 3.5675 0.0000 5.7511
W -0.7024 0.0000 3.5063
CELL_PARAMETERS angstrom
4.2641 -2.3794 0.0000
4.2641 2.3794 0.0000
-1.4048 0.0000 7.0126
```

* energy: -4.171 eV/atom
* E above lowest polymorph: 0.0 meV per atom
* D(E_F): 3.6 states/eV/cell
* energy relative to the elements: 46.9 meV/atom
* volume: 142 Å³/cell

(3)
A geometry-optimized Al3ZnW structure. Source: Alexandria via LeMat-Bulk, functional PBE. Values from VASP.

Cell and atoms, written as Quantum ESPRESSO input:
```
&SYSTEM
  ibrav = 0, nat = 10, ntyp = 3
/
ATOMIC_SPECIES
Al 26.98 Al.upf
Zn 65.41 Zn.upf
W 183.84 W.upf
ATOMIC_POSITIONS angstrom
Al -0.0036 0.0202 1.3766
Al -0.0107 4.6310 4.1298
Al 2.2344 1.9640 4.1376
Al 2.2415 2.6872 1.3844
Al 4.8628 1.9640 4.1220
Al 4.8700 2.6872 1.3688
Zn 3.5558 0.4184 1.3766
Zn 3.5486 4.2327 4.1298
W 0.0000 2.3256 0.0000
W -0.0071 2.3256 2.7532
CELL_PARAMETERS angstrom
7.1187 0.0000 0.0000
0.0000 4.6512 0.0000
-0.0143 0.0000 5.5064
```

* energy: -4.972 eV/atom
* E above lowest polymorph: 0.0 meV per atom
* D(E_F): 3.5 states/eV/cell
* energy relative to the elements: 118.6 meV/atom
* volume: 182 Å³/cell

(4)
A geometry-optimized Al5Zn2W2 structure. Source: Alexandria via LeMat-Bulk, functional PBE. Values from VASP.

Cell and atoms, written as Quantum ESPRESSO input:
```
&SYSTEM
  ibrav = 0, nat = 9, ntyp = 3
/
ATOMIC_SPECIES
Al 26.98 Al.upf
Zn 65.41 Zn.upf
W 183.84 W.upf
ATOMIC_POSITIONS angstrom
Al 0.0000 0.0000 0.0000
Al 0.3743 0.0000 5.7272
Al 3.0501 0.0000 6.9706
Al 5.5960 0.0000 1.7299
Al 8.2718 0.0000 2.9734
Zn 1.7620 0.0000 3.4879
Zn 6.8840 0.0000 5.2126
W 2.9320 0.0000 1.0190
W 5.7141 0.0000 7.6816
CELL_PARAMETERS angstrom
4.5773 -1.7943 0.0000
4.5773 1.7943 0.0000
-0.5086 0.0000 8.7006
```

* energy: -5.243 eV/atom
* D(E_F): 3.0 states/eV/cell
* energy relative to the elements: -2.2 meV/atom
* volume: 143 Å³/cell

(5)
A geometry-optimized AlZn2W structure. Source: Alexandria via LeMat-Bulk, functional PBE. Values from VASP.

Cell and atoms, written as Quantum ESPRESSO input:
```
&SYSTEM
  ibrav = 0, nat = 8, ntyp = 3
/
ATOMIC_SPECIES
Al 26.98 Al.upf
Zn 65.41 Zn.upf
W 183.84 W.upf
ATOMIC_POSITIONS angstrom
Al 0.0000 0.0000 0.0000
Al 1.4779 2.2342 4.5200
Zn 0.0000 0.0000 4.5974
Zn 0.0000 2.2342 2.2442
Zn 1.4779 0.0000 6.7643
Zn 1.4779 2.2342 0.0774
W 0.0000 2.2342 6.8258
W 1.4779 0.0000 2.3058
CELL_PARAMETERS angstrom
2.9557 0.0000 0.0000
0.0000 4.4684 0.0000
0.0000 0.0000 9.0400
```

* energy: -4.653 eV/atom
* D(E_F): 2.3 states/eV/cell
* energy relative to the elements: 157.7 meV/atom
* volume: 119 Å³/cell

(6)
A geometry-optimized AlZn2W structure. Source: Alexandria via LeMat-Bulk, functional PBE. Values from VASP.

Cell and atoms, written as Quantum ESPRESSO input:
```
&SYSTEM
  ibrav = 0, nat = 8, ntyp = 3
/
ATOMIC_SPECIES
Al 26.98 Al.upf
Zn 65.41 Zn.upf
W 183.84 W.upf
ATOMIC_POSITIONS angstrom
Al 0.0000 0.0000 0.0000
Al 1.8645 1.8645 4.2824
Zn 0.0000 0.0000 4.2824
Zn 0.0000 1.8645 2.1412
Zn 1.8645 0.0000 6.4236
Zn 1.8645 1.8645 0.0000
W 0.0000 1.8645 6.4236
W 1.8645 0.0000 2.1412
CELL_PARAMETERS angstrom
3.7289 0.0000 0.0000
0.0000 3.7289 0.0000
0.0000 0.0000 8.5648
```

* energy: -4.688 eV/atom
* D(E_F): 6.5 states/eV/cell
* energy relative to the elements: 122.6 meV/atom
* volume: 119 Å³/cell

(7)
A geometry-optimized AlZn2W structure. Source: Alexandria via LeMat-Bulk, functional PBE. Values from VASP.

Cell and atoms, written as Quantum ESPRESSO input:
```
&SYSTEM
  ibrav = 0, nat = 4, ntyp = 3
/
ATOMIC_SPECIES
Al 26.98 Al.upf
Zn 65.41 Zn.upf
W 183.84 W.upf
ATOMIC_POSITIONS angstrom
Al 0.0000 0.0000 0.0000
Zn 0.0000 0.0000 4.1331
Zn 1.3621 1.3621 6.1789
W 1.3621 1.3621 2.0528
CELL_PARAMETERS angstrom
2.7243 0.0000 0.0000
0.0000 2.7243 0.0000
0.0000 0.0000 8.2636
```

* energy: -4.669 eV/atom
* D(E_F): 2.3 states/eV/cell
* energy relative to the elements: 142.3 meV/atom
* volume: 61 Å³/cell

(8)
A geometry-optimized Al6Zn2W structure. Source: Alexandria via LeMat-Bulk, functional PBE. Values from VASP.

Cell and atoms, written as Quantum ESPRESSO input:
```
&SYSTEM
  ibrav = 0, nat = 9, ntyp = 3
/
ATOMIC_SPECIES
Al 26.98 Al.upf
Zn 65.41 Zn.upf
W 183.84 W.upf
ATOMIC_POSITIONS angstrom
Al -1.2876 2.2303 1.3489
Al -1.2876 2.2303 5.7973
Al 2.5753 0.0000 1.3489
Al 2.5753 0.0000 5.7973
Al 1.2876 2.2303 1.3489
Al 1.2876 2.2303 5.7973
Zn 0.0000 2.9737 3.5731
Zn 2.5753 1.4868 3.5731
W 0.0000 0.0000 0.0000
CELL_PARAMETERS angstrom
5.1505 0.0000 0.0000
-2.5753 4.4605 0.0000
0.0000 0.0000 7.1461
```

* energy: -4.060 eV/atom
* E above lowest polymorph: 110.1 meV per atom
* D(E_F): 2.6 states/eV/cell
* energy relative to the elements: 156.9 meV/atom
* volume: 164 Å³/cell

(9)
A geometry-optimized Al6ZnW structure. Source: Alexandria via LeMat-Bulk, functional PBE. Values from VASP.

Cell and atoms, written as Quantum ESPRESSO input:
```
&SYSTEM
  ibrav = 0, nat = 8, ntyp = 3
/
ATOMIC_SPECIES
Al 26.98 Al.upf
Zn 65.41 Zn.upf
W 183.84 W.upf
ATOMIC_POSITIONS angstrom
Al -0.4304 2.0197 1.2895
Al 1.0136 -0.6792 3.4086
Al 1.2993 -0.1678 0.6979
Al 2.5336 3.6762 4.6489
Al 2.8193 4.1875 1.9382
Al 4.2633 1.4886 4.0572
Zn 1.9165 1.7542 2.6734
W 2.0141 2.4356 0.0000
CELL_PARAMETERS angstrom
4.8849 0.0000 0.0000
-0.8567 4.8712 0.0000
-0.1953 -1.3629 5.3467
```

* energy: -4.601 eV/atom
* D(E_F): 2.9 states/eV/cell
* energy relative to the elements: -15.5 meV/atom
* volume: 127 Å³/cell

(10)
A geometry-optimized Al2ZnW structure. Source: Alexandria via LeMat-Bulk, functional PBE. Values from VASP.

Cell and atoms, written as Quantum ESPRESSO input:
```
&SYSTEM
  ibrav = 0, nat = 12, ntyp = 3
/
ATOMIC_SPECIES
Al 26.98 Al.upf
Zn 65.41 Zn.upf
W 183.84 W.upf
ATOMIC_POSITIONS angstrom
Al 0.0000 0.0000 6.5391
Al 0.0000 0.0000 19.7139
Al 0.0000 1.6637 10.9629
Al 0.0000 1.6637 24.0411
Al 1.4408 0.8318 2.2119
Al 1.4408 0.8318 15.2901
Zn 0.0000 0.0000 13.1265
Zn 0.0000 1.6637 4.3755
Zn 1.4408 0.8318 21.8775
W 0.0000 0.0000 0.0000
W 0.0000 1.6637 17.5020
W 1.4408 0.8318 8.7510
CELL_PARAMETERS angstrom
2.8816 0.0000 0.0000
-1.4408 2.4956 0.0000
0.0000 0.0000 26.2530
```

* energy: -5.388 eV/atom
* D(E_F): 5.4 states/eV/cell
* energy relative to the elements: 39.8 meV/atom
* volume: 189 Å³/cell

(11)
A geometry-optimized ZrAlW structure. Source: Alexandria via LeMat-Bulk, functional PBE. Values from VASP.

Cell and atoms, written as Quantum ESPRESSO input:
```
&SYSTEM
  ibrav = 0, nat = 6, ntyp = 3
/
ATOMIC_SPECIES
Zr 91.22 Zr.upf
Al 26.98 Al.upf
W 183.84 W.upf
ATOMIC_POSITIONS angstrom
Zr 0.0000 0.0000 0.0000
Zr -0.0668 2.3549 3.8996
Al 1.3385 0.0000 5.2297
Al 1.5229 0.0000 2.5696
W 1.0571 2.3549 1.1933
W 1.8043 2.3549 6.6060
CELL_PARAMETERS angstrom
2.9950 0.0000 0.0000
0.0000 4.7099 0.0000
-0.1336 0.0000 7.7992
```

* energy: -8.470 eV/atom
* E above lowest polymorph: 230.1 meV per atom
* D(E_F): 5.6 states/eV/cell
* energy relative to the elements: -55.9 meV/atom
* volume: 110 Å³/cell

(12)
A geometry-optimized ZrAlW structure. Source: Alexandria via LeMat-Bulk, functional PBE. Values from VASP.

Cell and atoms, written as Quantum ESPRESSO input:
```
&SYSTEM
  ibrav = 0, nat = 6, ntyp = 3
/
ATOMIC_SPECIES
Zr 91.22 Zr.upf
Al 26.98 Al.upf
W 183.84 W.upf
ATOMIC_POSITIONS angstrom
Zr 0.8635 1.0538 1.0734
Zr 2.5905 3.1613 6.4904
Al 0.8635 1.0538 5.7210
Al 2.5905 3.1613 1.8428
W 0.8635 3.1613 3.8882
W 2.5905 1.0538 3.6756
CELL_PARAMETERS angstrom
3.4540 0.0000 0.0000
0.0000 4.2150 0.0000
0.0000 0.0000 7.5638
```

* energy: -8.666 eV/atom
* E above lowest polymorph: 34.2 meV per atom
* D(E_F): 4.0 states/eV/cell
* energy relative to the elements: -251.8 meV/atom
* volume: 110 Å³/cell